# 1
This record from the Alexandria database describes an optimized crystal structure of Ba3Cd3Au. The functional is PBE-GGA.

Lattice parameters (Å, degrees): 6.7834 6.7834 18.5014 108.74 108.74 40.32
With the nearest neighbours (Å) after each atom.
Fractional coordinates of all 14 atoms:
Ba: 0.0807 0.0807 0.4006  2 Au 3.45, 7 Cd 3.64-3.75
Ba: 0.1013 0.1013 0.9218  7 Cd 3.56-3.73
Ba: 0.2628 0.2628 0.2353  2 Au 3.44, 6 Cd 3.58-3.72
Ba: 0.7372 0.7372 0.7647  2 Au 3.44, 6 Cd 3.58-3.72
Ba: 0.8987 0.8987 0.0782  7 Cd 3.56-3.73
Ba: 0.9193 0.9193 0.5994  2 Au 3.45, 7 Cd 3.64-3.75
Cd: 0.3838 0.3838 0.4423  2 Au 2.86, 1 Cd 3.00
Cd: 0.3910 0.3910 0.9219  2 Cd 3.25, 2 Ba 3.56
Cd: 0.4494 0.4494 0.7639  1 Au 2.98, 1 Cd 3.25
Cd: 0.5506 0.5506 0.2361  1 Au 2.98, 1 Cd 3.25
Cd: 0.6090 0.6090 0.0781  2 Cd 3.25, 2 Ba 3.56
Cd: 0.6162 0.6162 0.5577  2 Au 2.86, 1 Cd 3.00
Au: 0.2385 0.2385 0.6283  3 Cd 2.86-2.98
Au: 0.7615 0.7615 0.3717  3 Cd 2.86-2.98

Values from the calculation:
SG: C2/m, No. 12
Volume in Å³ per atom: 36.97
ΔE_f in eV per atom: -0.406
Fermi-level density of states in states/eV/f.u.: 4.78

# 2
This record from the Alexandria database describes an optimized crystal structure of SrCr2Re. The functional is PBE-GGA.

Lattice parameters (Å, degrees): 2.7606 2.7606 9.1907 90.00 90.00 109.59
With the nearest neighbours (Å) after each atom.
Fractional coordinates of all 4 atoms:
Sr: 0.0000 0.0000 0.0000  4 Sr 2.76
Cr: 0.0000 0.0000 0.5145  2 Cr 2.31, 2 Re 2.54
Cr: 0.5000 0.5000 0.6967  2 Cr 2.31
Re: 0.5000 0.5000 0.2998  2 Cr 2.54, 4 Re 2.76

Values from the calculation:
SG: Cmm2, No. 35
Volume in Å³ per atom: 16.50
ΔE_f in eV per atom: 0.879
Fermi-level density of states in states/eV/f.u.: 4.16
Relative energy among the computed polymorphs in meV/atom: 210.4

# 3
This record from the Alexandria database describes an optimized crystal structure of ZrNbAg. The functional is PBE-GGA.

Lattice parameters (Å, degrees): 5.7128 5.7128 6.4338 105.65 105.65 36.28
With the nearest neighbours (Å) after each atom.
Fractional coordinates of all 6 atoms:
Zr: 0.0000 0.0000 0.0000  3 Ag 2.93-3.13, 4 Nb 2.94-3.06, 2 Zr 3.02
Zr: 0.6668 0.6668 0.3475  3 Nb 2.89-3.09, 4 Ag 2.96-2.98, 2 Zr 3.02
Nb: 0.3218 0.3218 0.1720  2 Nb 2.73, 2 Zr 2.89, 2 Ag 3.02
Nb: 0.6832 0.6832 0.8760  2 Nb 2.73, 2 Zr 2.94, 2 Ag 2.98
Ag: 0.3370 0.3370 0.6736  2 Ag 2.87, 4 Zr 2.93-2.96, 3 Nb 2.98-3.18
Ag: 0.9946 0.9946 0.5107  2 Ag 2.87, 3 Zr 2.98-3.13, 4 Nb 3.02-3.19

Values from the calculation:
SG: Cm, No. 8
Volume in Å³ per atom: 19.86
ΔE_f in eV per atom: 0.104
Fermi-level density of states in states/eV/f.u.: 2.64
Relative energy among the computed polymorphs in meV/atom: 183.3